Material: HfNbIn
Method: DFT, PBE
State: relaxed

Unit cell a=4.9531 b=4.9531 c=2.9152 alpha=90.00 beta=90.00 gamma=120.00
Atoms (fractional coordinates):
Hf (0.0000, 0.0000, 0.0000)
Nb (0.3333, 0.6667, 0.6605)
In (0.6667, 0.3333, 0.3757)

Computed properties:
- Mass density: 10.35 g/cm³
- Calculated formation energy: 0.1233 eV/atom
- Space group: P3m1 (156)



Material: Hf2Nb2In
Method: DFT, PBE
State: relaxed

Unit cell a=7.6906 b=7.6906 c=3.0606 alpha=91.00 beta=91.00 gamma=34.51
Atoms (fractional coordinates):
Hf (0.1081, 0.1081, 0.4816)
Hf (0.8919, 0.8919, 0.5184)
Nb (0.2916, 0.2916, 0.1289)
Nb (0.7084, 0.7084, 0.8711)
In (0.5000, 0.5000, 0.0000)

Computed properties:
- Mass density: 10.65 g/cm³
- Calculated formation energy: -0.0430 eV/atom
- Space group: C2/m (12)



| no. | polymorph energy (0 for the lowest one) (eV per atom) |
| --- | --- |
| 1 | 0.1566 |
| 2 | 0.0000 |